# 1
DFT (PBE-GGA) results for a geometry-optimized Tb3Sm4ErS8 structure.

Output
- ΔE_f (raw) (eV/atom) = -2.008
- size of the total moment (μB per formula unit) = 0.0
- space-group type = R-3m (166)

abc: 7.9469 7.9469 7.9469
angles: 59.60 59.60 59.60
Last column: nearest neighbours and their distance in Å.
Sites, in units of the cell vectors:
1 Tb 0.0000 0.5000 0.5000  6 S 2.77
2 Tb 0.5000 0.0000 0.5000  6 S 2.77
3 Tb 0.5000 0.5000 0.0000  6 S 2.77
4 Sm 0.0000 0.0000 0.5000  6 S 2.83
5 Sm 0.0000 0.5000 0.0000  6 S 2.83
6 Sm 0.5000 0.0000 0.0000  6 S 2.83
7 Sm 0.5000 0.5000 0.5000  6 S 2.86
8 Er 0.0000 0.0000 0.0000  6 S 2.74
9 S 0.2449 0.2449 0.7496  1 Er 2.74, 2 Tb 2.77, 3 Sm 2.83-2.86
10 S 0.2449 0.7496 0.2449  1 Er 2.74, 2 Tb 2.77, 3 Sm 2.83-2.86
11 S 0.2504 0.7551 0.7551  1 Er 2.74, 2 Tb 2.77, 3 Sm 2.83-2.86
12 S 0.2528 0.2528 0.2528  3 Tb 2.77, 3 Sm 2.83
13 S 0.7472 0.7472 0.7472  3 Tb 2.77, 3 Sm 2.83
14 S 0.7496 0.2449 0.2449  1 Er 2.74, 2 Tb 2.77, 3 Sm 2.83-2.86
15 S 0.7551 0.2504 0.7551  1 Er 2.74, 2 Tb 2.77, 3 Sm 2.83-2.86
16 S 0.7551 0.7551 0.2504  1 Er 2.74, 2 Tb 2.77, 3 Sm 2.83-2.86

=====

# 2
DFT (PBE-GGA) results for a geometry-optimized Be2AsOs2 structure.

Output
- energy above the most stable polymorph in this dataset (eV per atom) = 0.000
- formation energy (eV per atom) = 0.136
- size of the total moment (μB per formula unit) = 0.0
- space-group type = P4/mbm (127)

abc: 6.4056 6.4056 3.0883
angles: 90.00 90.00 90.00
Last column: nearest neighbours and their distance in Å.
Sites, in units of the cell vectors:
1 Be 0.1302 0.3698 0.0000  1 Be 2.36, 6 Os 2.41-2.46
2 Be 0.3698 0.8698 0.0000  1 Be 2.36, 6 Os 2.41-2.46
3 Be 0.6302 0.1302 0.0000  1 Be 2.36, 6 Os 2.41-2.46
4 Be 0.8698 0.6302 0.0000  1 Be 2.36, 6 Os 2.41-2.46
5 As 0.0000 0.0000 0.5000  4 Os 2.41
6 As 0.5000 0.5000 0.5000  4 Os 2.41
7 Os 0.1578 0.6578 0.5000  6 Be 2.41-2.46, 2 As 2.41
8 Os 0.3422 0.1578 0.5000  6 Be 2.41-2.46, 2 As 2.41
9 Os 0.6578 0.8422 0.5000  6 Be 2.41-2.46, 2 As 2.41
10 Os 0.8422 0.3422 0.5000  6 Be 2.41-2.46, 2 As 2.41

=====

# 3
DFT (PBE-GGA) results for a geometry-optimized Ti15NbO32 structure.

Output
- ΔE_f (raw) (eV/atom) = -2.997
- size of the total moment (μB per formula unit) = 0.0
- space-group type = P-4m2 (115)

abc: 7.6513 7.6513 9.7184
angles: 90.00 90.00 90.00
Last column: nearest neighbours and their distance in Å.
Sites, in units of the cell vectors:
1 Ti 0.0000 0.0000 0.0000  6 O 1.96-2.01
2 Ti 0.0000 0.2494 0.2491  6 O 1.95-2.02
3 Ti 0.0000 0.5000 0.0010  6 O 1.95-2.05
4 Ti 0.0000 0.7506 0.2491  6 O 1.95-2.02
5 Ti 0.2456 0.5000 0.7417  6 O 1.94-2.07
6 Ti 0.2474 0.2474 0.5000  6 O 1.94-2.00
7 Ti 0.2474 0.7526 0.5000  6 O 1.94-2.00
8 Ti 0.2494 0.0000 0.7509  6 O 1.95-2.02
9 Ti 0.5000 0.0000 0.9990  6 O 1.95-2.05
10 Ti 0.5000 0.2456 0.2583  6 O 1.94-2.07
11 Ti 0.5000 0.7544 0.2583  6 O 1.94-2.07
12 Ti 0.7506 0.0000 0.7509  6 O 1.95-2.02
13 Ti 0.7526 0.2474 0.5000  6 O 1.94-2.00
14 Ti 0.7526 0.7526 0.5000  6 O 1.94-2.00
15 Ti 0.7544 0.5000 0.7417  6 O 1.94-2.07
16 Nb 0.5000 0.5000 0.0000  6 O 1.98-2.05
17 O 0.0000 0.0000 0.2066  3 Ti 1.95-2.01
18 O 0.0000 0.0000 0.7934  3 Ti 1.95-2.01
19 O 0.0000 0.2495 0.4573  3 Ti 1.94-2.02
20 O 0.0000 0.2503 0.0430  3 Ti 1.95-2.00
21 O 0.0000 0.5000 0.2056  3 Ti 1.96-1.99
22 O 0.0000 0.5000 0.7904  3 Ti 1.94-2.05
23 O 0.0000 0.7497 0.0430  3 Ti 1.95-2.00
24 O 0.0000 0.7505 0.4573  3 Ti 1.94-2.02
25 O 0.2477 0.5000 0.9543  2 Ti 1.95-2.07, 1 Nb 1.98
26 O 0.2495 0.0000 0.5427  3 Ti 1.94-2.02
27 O 0.2493 0.2498 0.2939  3 Ti 1.95-2.00
28 O 0.2488 0.5000 0.5418  3 Ti 1.94-1.98
29 O 0.2493 0.7502 0.2939  3 Ti 1.95-2.00
30 O 0.2503 0.0000 0.9570  3 Ti 1.95-2.00
31 O 0.2498 0.2493 0.7061  3 Ti 1.95-2.00
32 O 0.2498 0.7507 0.7061  3 Ti 1.95-2.00
33 O 0.5000 0.0000 0.2096  3 Ti 1.94-2.05
34 O 0.5000 0.0000 0.7944  3 Ti 1.96-1.99
35 O 0.5000 0.2477 0.0457  2 Ti 1.95-2.07, 1 Nb 1.98
36 O 0.5000 0.2488 0.4582  3 Ti 1.94-1.98
37 O 0.5000 0.5000 0.2106  2 Ti 2.00, 1 Nb 2.05
38 O 0.5000 0.5000 0.7894  2 Ti 2.00, 1 Nb 2.05
39 O 0.5000 0.7512 0.4582  3 Ti 1.94-1.98
40 O 0.5000 0.7523 0.0457  2 Ti 1.95-2.07, 1 Nb 1.98
41 O 0.7497 0.0000 0.9570  3 Ti 1.95-2.00
42 O 0.7502 0.2493 0.7061  3 Ti 1.95-2.00
43 O 0.7502 0.7507 0.7061  3 Ti 1.95-2.00
44 O 0.7505 0.0000 0.5427  3 Ti 1.94-2.02
45 O 0.7507 0.2498 0.2939  3 Ti 1.95-2.00
46 O 0.7512 0.5000 0.5418  3 Ti 1.94-1.98
47 O 0.7507 0.7502 0.2939  3 Ti 1.95-2.00
48 O 0.7523 0.5000 0.9543  2 Ti 1.95-2.07, 1 Nb 1.98

=====

# 4
DFT (PBE-GGA) results for a geometry-optimized CrCo3Br9 structure.

Output
- ΔE_f (raw) (eV/atom) = -0.365
- size of the total moment (μB per formula unit) = 6.0
- space-group type = Cc (9)

abc: 9.9308 9.9308 12.7973
angles: 122.45 122.45 54.49
Last column: nearest neighbours and their distance in Å.
Sites, in units of the cell vectors:
1 Cr 0.2274 0.7726 0.5000  6 Br 2.54-2.58
2 Cr 0.7726 0.2274 0.0000  6 Br 2.54-2.58
3 Co 0.0171 0.2477 0.8221  4 Br 2.37-2.41
4 Co 0.2477 0.0171 0.3221  4 Br 2.37-2.41
5 Co 0.2907 0.4547 0.6800  4 Br 2.39-2.41
6 Co 0.4547 0.2907 0.1800  4 Br 2.39-2.41
7 Co 0.6935 0.7831 0.2305  4 Br 2.36-2.40
8 Co 0.7831 0.6935 0.7305  4 Br 2.36-2.40
9 Br 0.0944 0.1202 0.1420  1 Co 2.37, 1 Cr 2.56
10 Br 0.0987 0.8879 0.3154  1 Co 2.41, 1 Cr 2.55
11 Br 0.1202 0.0944 0.6420  1 Co 2.37, 1 Cr 2.56
12 Br 0.1881 0.3974 0.0149  2 Co 2.38-2.39
13 Br 0.3126 0.6941 0.6960  1 Co 2.40, 1 Cr 2.58
14 Br 0.3662 0.4474 0.3706  1 Co 2.40, 1 Cr 2.57
15 Br 0.3974 0.1881 0.5149  2 Co 2.38-2.39
16 Br 0.4474 0.3662 0.8706  1 Co 2.40, 1 Cr 2.57
17 Br 0.4879 0.7610 0.2563  2 Co 2.38
18 Br 0.5077 0.7947 0.5694  1 Co 2.39, 1 Cr 2.54
19 Br 0.5334 0.9830 0.1122  2 Co 2.40-2.41
20 Br 0.6941 0.3126 0.1960  1 Co 2.40, 1 Cr 2.58
21 Br 0.7610 0.4879 0.7563  2 Co 2.38
22 Br 0.7883 0.9251 0.9320  1 Co 2.36, 1 Cr 2.57
23 Br 0.7947 0.5077 0.0694  1 Co 2.39, 1 Cr 2.54
24 Br 0.8879 0.0987 0.8154  1 Co 2.41, 1 Cr 2.55
25 Br 0.9251 0.7883 0.4320  1 Co 2.36, 1 Cr 2.57
26 Br 0.9830 0.5334 0.6122  2 Co 2.40-2.41